Na4ZnCdSi4O12 | PBE | optimized geometry

Cell lengths 5.263, 5.263, 11.544 Å; angles 101.99, 101.99, 93.36 degrees
Sites, in units of the cell vectors:
Na: 0.153 0.153 0.353
Na: 0.552 0.078 0.164
Na: 0.847 0.847 0.647
Na: 0.922 0.448 0.836
Zn: 0.718 0.282 0.500
Cd: 0.970 0.030 0.000
Si: 0.315 0.428 0.666
Si: 0.410 0.006 0.827
Si: 0.572 0.685 0.334
Si: 0.994 0.590 0.173
O: 0.099 0.364 0.539
O: 0.254 0.208 0.747
O: 0.255 0.710 0.751
O: 0.290 0.745 0.249
O: 0.363 0.067 0.963
O: 0.556 0.385 0.348
O: 0.615 0.444 0.652
O: 0.636 0.901 0.461
O: 0.717 0.027 0.823
O: 0.792 0.746 0.253
O: 0.933 0.637 0.037
O: 0.973 0.283 0.177

Computed properties:
Total moment   0.00 μB/cell
Formation energy from raw total energies   -2287.5 meV/atom

Pu3InGa2 | PBE | optimized geometry

Cell lengths 3.133, 3.133, 13.913 Å; angles 90.00, 90.00, 90.00 degrees
Sites, in units of the cell vectors:
Pu: 0.000 0.000 0.000
Pu: 0.000 0.000 0.319
Pu: 0.000 0.000 0.681
In: 0.500 0.500 0.500
Ga: 0.500 0.500 0.160
Ga: 0.500 0.500 0.840

Computed properties:
Total moment   5.61 μB/cell
Formation enthalpy at 0 K   -0.27 eV per atom

SrLiUBr6 | PBE | optimized geometry

Cell lengths 7.247, 7.247, 13.556 Å; angles 90.00, 90.00, 120.00 degrees
Sites, in units of the cell vectors:
Sr: 0.000 0.000 0.000
Sr: 0.000 0.000 0.500
Li: 0.333 0.667 0.250
Li: 0.667 0.333 0.750
U: 0.333 0.667 0.750
U: 0.667 0.333 0.250
Br: 0.013 0.357 0.131
Br: 0.013 0.656 0.369
Br: 0.344 0.357 0.369
Br: 0.344 0.987 0.131
Br: 0.357 0.013 0.631
Br: 0.357 0.344 0.869
Br: 0.643 0.656 0.131
Br: 0.643 0.987 0.369
Br: 0.656 0.013 0.869
Br: 0.656 0.643 0.631
Br: 0.987 0.344 0.631
Br: 0.987 0.643 0.869

Computed properties:
Total moment   6.00 μB/cell
Formation energy from raw total energies   -1589.6 meV/atom

ErTm8Tl2 | PBE | optimized geometry

Cell lengths 8.706, 8.706, 5.476 Å; angles 101.49, 101.49, 119.44 degrees
Sites, in units of the cell vectors:
Er: 0.000 0.000 0.000
Tm: 0.095 0.322 0.618
Tm: 0.216 0.784 0.000
Tm: 0.322 0.095 0.618
Tm: 0.400 0.400 0.201
Tm: 0.600 0.600 0.799
Tm: 0.678 0.905 0.382
Tm: 0.784 0.216 0.000
Tm: 0.905 0.678 0.382
Tl: 0.306 0.694 0.500
Tl: 0.694 0.306 0.500

Computed properties:
Total moment   0.00 μB/cell
Formation enthalpy at 0 K   0.01 eV per atom

ErZr2Co | PBE | optimized geometry

Cell lengths 4.850, 4.850, 4.850 Å; angles 60.00, 60.00, 60.00 degrees
Sites, in units of the cell vectors:
Er: 0.000 0.000 0.000
Zr: 0.250 0.250 0.250
Zr: 0.750 0.750 0.750
Co: 0.500 0.500 0.500

Computed properties:
Total moment   1.05 μB/cell
Excess energy over the best structure of this formula in the dataset   408.2 meV per atom
Formation enthalpy at 0 K   0.24 eV per atom

CuC2Br | PBE | optimized geometry

Cell lengths 5.977, 5.977, 5.977 Å; angles 131.38, 131.38, 71.21 degrees
Sites, in units of the cell vectors:
Cu: 0.000 0.000 0.000
Cu: 0.750 0.250 0.500
C: 0.043 0.625 0.918
C: 0.375 0.293 0.418
C: 0.707 0.125 0.082
C: 0.875 0.957 0.582
Br: 0.250 0.750 0.500
Br: 0.500 0.500 0.000

Computed properties:
Total moment   0.00 μB/cell
Formation energy from raw total energies   2083.5 meV/atom
Excess energy over the best structure of this formula in the dataset   0.0 meV per atom

K2HgSbAs | PBE | optimized geometry

Cell lengths 6.472, 6.472, 5.073 Å; angles 90.00, 90.00, 90.00 degrees
Sites, in units of the cell vectors:
K: 0.000 0.500 0.000
K: 0.500 0.000 0.000
Hg: 0.000 0.000 0.500
Sb: 0.500 0.500 0.500
As: 0.000 0.000 0.000

Computed properties:
Total moment   2.13 μB/cell
Formation energy from raw total energies   74.2 meV/atom

CsBiAs3 | PBE | optimized geometry

Cell lengths 5.618, 5.618, 5.618 Å; angles 90.00, 90.00, 90.00 degrees
Sites, in units of the cell vectors:
Cs: 0.000 0.000 0.000
Bi: 0.500 0.500 0.500
As: 0.000 0.000 0.500
As: 0.000 0.500 0.000
As: 0.500 0.000 0.000

Computed properties:
Total moment   0.00 μB/cell
Excess energy over the best structure of this formula in the dataset   1113.4 meV per atom
Formation enthalpy at 0 K   1.62 eV per atom

K5NaHg4 | PBE | optimized geometry

Cell lengths 10.833, 10.833, 9.000 Å; angles 110.40, 110.40, 26.89 degrees
Sites, in units of the cell vectors:
K: 0.000 0.000 0.000
K: 0.310 0.310 0.900
K: 0.351 0.351 0.471
K: 0.649 0.649 0.529
K: 0.690 0.690 0.100
Na: 0.000 0.000 0.500
Hg: 0.130 0.130 0.808
Hg: 0.466 0.466 0.259
Hg: 0.534 0.534 0.741
Hg: 0.870 0.870 0.192

Computed properties:
Total moment   0.00 μB/cell
Excess energy over the best structure of this formula in the dataset   0.0 meV per atom
Formation enthalpy at 0 K   -0.19 eV per atom

AlCdOs2 | PBE | optimized geometry

Cell lengths 2.814, 3.840, 5.968 Å; angles 90.00, 90.00, 90.00 degrees
Sites, in units of the cell vectors:
Al: 0.000 0.000 0.000
Cd: 0.000 0.000 0.500
Os: 0.500 0.500 0.205
Os: 0.500 0.500 0.795

Computed properties:
Total moment   0.00 μB/cell
Excess energy over the best structure of this formula in the dataset   247.2 meV per atom
Formation enthalpy at 0 K   0.35 eV per atom

Tl2GeBiBr | PBE | optimized geometry

Cell lengths 5.913, 5.913, 5.317 Å; angles 90.00, 90.00, 90.00 degrees
Sites, in units of the cell vectors:
Tl: 0.000 0.500 0.000
Tl: 0.500 0.000 0.000
Ge: 0.000 0.000 0.500
Bi: 0.500 0.500 0.500
Br: 0.000 0.000 0.000

Computed properties:
Total moment   0.00 μB/cell
Formation energy from raw total energies   346.4 meV/atom

Na2ZrPt | PBE | optimized geometry

Cell lengths 6.699, 6.699, 6.699 Å; angles 98.86, 98.86, 133.78 degrees
Sites, in units of the cell vectors:
Na: 0.068 0.625 0.943
Na: 0.375 0.318 0.443
Na: 0.682 0.125 0.057
Na: 0.875 0.932 0.557
Zr: 0.250 0.750 0.500
Zr: 0.500 0.500 0.000
Pt: 0.000 0.000 0.000
Pt: 0.750 0.250 0.500

Computed properties:
Total moment   2.35 μB/cell
Excess energy over the best structure of this formula in the dataset   0.0 meV per atom
Formation enthalpy at 0 K   0.39 eV per atom